No. 1
Computed, not measured: crystalline DyLuAg at its relaxed geometry at the PBE level of DFT.

POSCAR file:
```
DyLuAg
1.0
-2.004 -2.089 2.158
0.113 -3.646 -3.426
3.547 0.235 3.522
Dy Ag Lu
1 1 1
direct
0.613 0.667 0.333
0.308 0.333 0.667
0.079 0.000 0.000
```

Calculated values
- E above lowest polymorph: 136 meV per atom
- VASP energy: -12.11 eV per cell
- Crystal system: trigonal
- Space-group type: P3m1, No. 156

---

No. 2
Computed, not measured: crystalline DyLu2Ag at its relaxed geometry at the PBE level of DFT.

POSCAR file:
```
DyLu2Ag
1.0
-2.429 -0.456 2.474
-0.126 -2.998 1.796
5.558 2.785 8.442
Dy Ag Lu
1 1 2
direct
0.500 0.500 0.500
0.000 0.000 0.000
0.741 0.741 0.776
0.259 0.259 0.224
```

Calculated values
- E above lowest polymorph: 121 meV per atom
- VASP energy: -16.56 eV per cell
- Crystal system: trigonal
- Space-group type: R-3m, No. 166

---

No. 3
Computed, not measured: crystalline DyLuMgAg at its relaxed geometry at the PBE level of DFT.

POSCAR file:
```
DyLuMgAg
1.0
5.195 0.000 0.000
2.598 4.499 0.000
2.598 1.500 4.242
Lu Dy Mg Ag
1 1 1 1
direct
0.500 0.500 0.500
0.000 0.000 0.000
0.750 0.750 0.750
0.250 0.250 0.250
```

Calculated values
- VASP energy: -13.86 eV per cell
- Crystal system: cubic
- Space-group type: F-43m, No. 216

---

It is found that the magnetization values, taken in the order of the records, are 0.0 0.0 0.2 Bohr magnetons per cell.
It is found that the formation energy values, taken in the order of the records, are -13 -7 -28 kJ/mol of formula units.